[1]
PmTh2Te2S2 (GGA-PBE, relaxed); DOS at the Fermi energy = 7.1 states/eV per cell; volume = 212 Å³ per cell; formation energy from raw total energies = -107.6 kJ/mol of atoms
1.0
-2.576 2.576 7.981
2.576 -2.576 7.981
2.576 2.576 -7.981
Pm Th Te S
1 2 2 2
direct
0.000 0.000 0.000 Pm
0.391 0.391 0.000 Th
0.609 0.609 0.000 Th
0.191 0.191 0.000 Te
0.809 0.809 0.000 Te
0.000 0.500 0.500 S
0.500 0.000 0.500 S

=====

[2]
RuPbBr2 (GGA-PBE, relaxed); DOS at the Fermi energy = 1.3 states/eV per cell; volume = 115 Å³ per cell; distance to the lowest polymorph of the same formula = 0.583 eV per formula unit; formation energy from raw total energies = 12.4 kJ/mol of atoms
1.0
1.840 1.063 9.779
-1.840 1.063 9.779
0.000 -2.125 9.779
Ru Pb Br
1 1 2
direct
0.000 0.000 0.000 Ru
0.500 0.500 0.500 Pb
0.381 0.381 0.381 Br
0.619 0.619 0.619 Br

=====

[3]
CsLaGeSe4 (GGA-PBE, relaxed); volume = 472 Å³ per cell; formation energy from raw total energies = -118.5 kJ/mol of atoms
1.0
6.966 0.000 0.000
0.000 7.144 0.000
-3.102 0.000 9.482
Cs La Ge Se
2 2 2 8
direct
0.241 0.250 0.438 Cs
0.759 0.750 0.562 Cs
0.266 0.250 0.950 La
0.734 0.750 0.050 La
0.288 0.750 0.170 Ge
0.712 0.250 0.830 Ge
0.085 0.750 0.930 Se
0.088 0.750 0.323 Se
0.486 0.510 0.794 Se
0.486 0.990 0.794 Se
0.514 0.010 0.206 Se
0.514 0.490 0.206 Se
0.912 0.250 0.677 Se
0.915 0.250 0.070 Se

=====

[4]
Pr7TmCd4 (GGA-PBE, relaxed); calculated formation energy = -31 meV/atom; DOS at the Fermi energy = 14.3 states/eV per cell; volume = 381 Å³ per cell
1.0
7.580 -2.955 0.000
7.580 2.955 0.000
-5.330 0.000 8.516
Pr Tm Cd
7 1 4
direct
0.000 0.000 0.000 Pr
0.237 0.237 0.695 Pr
0.296 0.296 0.115 Pr
0.431 0.431 0.593 Pr
0.569 0.569 0.407 Pr
0.704 0.704 0.885 Pr
0.763 0.763 0.305 Pr
0.500 0.500 0.000 Tm
0.040 0.040 0.712 Cd
0.181 0.181 0.344 Cd
0.819 0.819 0.656 Cd
0.960 0.960 0.288 Cd

=====

[5]
EuInSn2 (GGA-PBE, relaxed); calculated formation energy = -251 meV/atom; DOS at the Fermi energy = 2.7 states/eV per cell; volume = 114 Å³ per cell
1.0
0.000 3.851 3.851
3.851 0.000 3.851
3.851 3.851 0.000
Eu In Sn
1 1 2
direct
0.000 0.000 0.000 Eu
0.500 0.500 0.500 In
0.250 0.250 0.250 Sn
0.750 0.750 0.750 Sn

=====

[6]
UTcGeOs (GGA-PBE, relaxed); calculated formation energy = -23 meV/atom; DOS at the Fermi energy = 5.2 states/eV per cell; volume = 69 Å³ per cell
1.0
0.000 3.252 3.252
3.252 0.000 3.252
3.252 3.252 0.000
U Tc Ge Os
1 1 1 1
direct
0.000 0.000 0.000 U
0.250 0.250 0.250 Tc
0.500 0.500 0.500 Ge
0.750 0.750 0.750 Os

=====

[7]
GdTiBi2 (GGA-PBE, relaxed); calculated formation energy = -300 meV/atom; DOS at the Fermi energy = 3.4 states/eV per cell; volume = 104 Å³ per cell
1.0
3.627 0.000 0.000
0.000 3.627 0.000
0.000 0.000 7.867
Gd Ti Bi
1 1 2
direct
0.000 0.000 0.000 Gd
0.000 0.000 0.500 Ti
0.500 0.500 0.280 Bi
0.500 0.500 0.720 Bi

=====

[8]
La3PrCo8P8 (GGA-PBE, relaxed); calculated formation energy = -994 meV/atom; DOS at the Fermi energy = 15.4 states/eV per cell; volume = 318 Å³ per cell
1.0
3.758 0.000 0.000
0.000 3.758 0.000
0.000 0.000 22.526
La Pr Co P
3 1 8 8
direct
0.000 0.000 0.000 La
0.500 0.500 0.252 La
0.500 0.500 0.748 La
0.000 0.000 0.500 Pr
0.000 0.500 0.126 Co
0.000 0.500 0.378 Co
0.000 0.500 0.622 Co
0.000 0.500 0.874 Co
0.500 0.000 0.126 Co
0.500 0.000 0.378 Co
0.500 0.000 0.622 Co
0.500 0.000 0.874 Co
0.000 0.000 0.178 P
0.000 0.000 0.326 P
0.000 0.000 0.674 P
0.000 0.000 0.822 P
0.500 0.500 0.074 P
0.500 0.500 0.430 P
0.500 0.500 0.570 P
0.500 0.500 0.926 P

=====

| no. | electronic total energy (eV/atom) |
| --- | --- |
| 1 | -5.990 |
| 2 | -3.953 |
| 3 | -4.704 |
| 4 | -3.496 |
| 5 | -5.505 |
| 6 | -9.398 |
| 7 | -7.734 |
| 8 | -6.978 |